Entry a
This record from Alexandria describes a relaxed LaPr3In2 crystal. The functional is PBE-GGA.

Calculated values
N(E_F) ... 13.3 states/eV/cell
V ... 32.6 Å³/atom
Total moment ... 0.00 Bohr magnetons per cell

Cell lengths 5.539, 9.534, 9.545 Å; angles 123.98, 90.00, 106.89 degrees
Element x y z (fractional)
Pr 0.619 0.237 0.692
Pr 0.305 0.611 0.613
Pr 0.695 0.389 0.387
Pr 0.381 0.763 0.308
Pr 0.940 0.881 0.595
Pr 0.060 0.119 0.405
In 0.482 0.964 0.129
In 0.518 0.036 0.871
In 0.230 0.460 0.868
In 0.770 0.540 0.132
La 0.130 0.259 0.085
La 0.870 0.741 0.915

---

Entry b
This record from Alexandria describes a relaxed LaPr3In2 crystal. The functional is PBE-GGA.

Calculated values
N(E_F) ... 15.9 states/eV/cell
V ... 32.3 Å³/atom
Total moment ... 0.00 Bohr magnetons per cell

Cell lengths 5.468, 6.974, 10.156 Å; angles 90.00, 90.00, 90.00 degrees
Element x y z (fractional)
In 0.000 0.276 0.651
In 0.500 0.223 0.149
In 0.500 0.723 0.851
In 0.000 0.776 0.349
Pr 0.500 0.702 0.173
Pr 0.000 0.480 0.960
Pr 0.000 0.296 0.326
Pr 0.500 0.202 0.827
Pr 0.000 0.980 0.040
Pr 0.000 0.796 0.674
La 0.500 0.022 0.461
La 0.500 0.522 0.539

---

Most stable one: entry b, least stable one: entry a.

---

Entry a
This record from Alexandria describes a relaxed La3Pr2In crystal. The functional is PBE-GGA.

Calculated values
N(E_F) ... 15.8 states/eV/cell
V ... 34.4 Å³/atom
Total moment ... 0.00 Bohr magnetons per cell

Cell lengths 5.783, 6.630, 10.768 Å; angles 90.00, 90.00, 90.00 degrees
Element x y z (fractional)
La 0.000 0.417 0.429
La 0.500 0.076 0.735
La 0.500 0.576 0.265
La 0.500 0.195 0.048
La 0.500 0.695 0.952
La 0.000 0.917 0.571
Pr 0.500 0.098 0.400
Pr 0.000 0.448 0.792
Pr 0.500 0.598 0.600
Pr 0.000 0.948 0.208
In 0.000 0.967 0.895
In 0.000 0.467 0.105

---

Entry b
This record from Alexandria describes a relaxed La3Pr2In crystal. The functional is PBE-GGA.

Calculated values
N(E_F) ... 7.7 states/eV/cell
V ... 33.9 Å³/atom
Total moment ... 0.00 Bohr magnetons per cell

Cell lengths 5.068, 5.055, 8.330 Å; angles 107.67, 90.00, 90.00 degrees
Element x y z (fractional)
La 0.500 0.500 0.000
La 0.500 0.841 0.681
La 0.500 0.159 0.319
Pr 0.000 0.664 0.329
Pr 0.000 0.336 0.671
In 0.000 0.000 0.000

---

Most stable one: entry b, least stable one: entry a.

---

Entry a
This record from Alexandria describes a relaxed LaPr4In crystal. The functional is PBE-GGA.

Calculated values
N(E_F) ... 8.1 states/eV/cell
V ... 33.6 Å³/atom
Total moment ... 0.00 Bohr magnetons per cell

Cell lengths 5.056, 5.053, 8.285 Å; angles 90.00, 107.77, 90.00 degrees
Element x y z (fractional)
Pr 0.662 0.000 0.324
Pr 0.338 0.000 0.676
Pr 0.163 0.500 0.327
Pr 0.837 0.500 0.673
In 0.500 0.500 0.000
La 0.000 0.000 0.000

---

Entry b
This record from Alexandria describes a relaxed LaPr4In crystal. The functional is PBE-GGA.

Calculated values
N(E_F) ... 16.0 states/eV/cell
V ... 36.1 Å³/atom
Total moment ... 0.00 Bohr magnetons per cell

Cell lengths 6.536, 8.895, 8.895 Å; angles 110.61, 104.68, 104.68 degrees
Element x y z (fractional)
Pr 0.500 0.255 0.745
Pr 0.993 0.941 0.689
Pr 0.007 0.059 0.311
Pr 0.267 0.495 0.495
Pr 0.733 0.505 0.505
Pr 0.993 0.689 0.941
Pr 0.007 0.311 0.059
Pr 0.500 0.745 0.255
In 0.000 0.690 0.310
In 0.000 0.310 0.690
La 0.544 0.860 0.860
La 0.456 0.140 0.140

---

Most stable one: entry a, least stable one: entry b.

---

Entry a
This record from Alexandria describes a relaxed La2Pr4In crystal. The functional is PBE-GGA.

Calculated values
N(E_F) ... 11.0 states/eV/cell
V ... 38.6 Å³/atom
Total moment ... 0.00 Bohr magnetons per cell

Cell lengths 4.916, 4.916, 11.191 Å; angles 90.00, 90.00, 90.00 degrees
Element x y z (fractional)
La 0.500 0.000 0.500
La 0.000 0.500 0.500
Pr 0.259 0.259 0.228
Pr 0.741 0.259 0.772
Pr 0.741 0.741 0.228
Pr 0.259 0.741 0.772
In 0.000 0.000 0.000

---

Entry b
This record from Alexandria describes a relaxed La2Pr4In crystal. The functional is PBE-GGA.

Calculated values
N(E_F) ... 21.2 states/eV/cell
V ... 35.9 Å³/atom
Total moment ... 0.00 Bohr magnetons per cell

Cell lengths 6.956, 6.956, 10.708 Å; angles 90.00, 90.00, 103.88 degrees
Element x y z (fractional)
Pr 0.195 0.196 0.000
Pr 0.500 0.000 0.750
Pr 0.804 0.805 0.500
Pr 0.196 0.195 0.500
Pr 0.000 0.500 0.750
Pr 0.500 0.000 0.250
Pr 0.000 0.500 0.250
Pr 0.805 0.804 0.000
In 0.500 0.500 0.750
In 0.500 0.500 0.250
La 0.306 0.695 0.000
La 0.694 0.305 0.000
La 0.305 0.694 0.500
La 0.695 0.306 0.500

---

Most stable one: entry b, least stable one: entry a.

---

Entry a
This record from Alexandria describes a relaxed La3PrIn3 crystal. The functional is PBE-GGA.

Calculated values
N(E_F) ... 13.6 states/eV/cell
V ... 33.2 Å³/atom
Total moment ... 0.00 Bohr magnetons per cell

Cell lengths 7.895, 7.895, 7.467 Å; angles 90.00, 90.00, 89.40 degrees
Element x y z (fractional)
In 0.500 0.000 0.245
In 0.000 0.000 0.761
In 0.000 0.500 0.245
In 0.000 0.000 0.239
In 0.000 0.500 0.755
In 0.500 0.000 0.755
La 0.252 0.252 0.500
La 0.258 0.742 0.500
La 0.742 0.258 0.500
La 0.748 0.748 0.500
La 0.264 0.736 0.000
La 0.736 0.264 0.000
Pr 0.257 0.257 0.000
Pr 0.743 0.743 0.000

---

Entry b
This record from Alexandria describes a relaxed La3PrIn3 crystal. The functional is PBE-GGA.

Calculated values
N(E_F) ... 32.7 states/eV/cell
V ... 33.3 Å³/atom
Total moment ... 0.00 Bohr magnetons per cell

Cell lengths 9.767, 9.767, 9.767 Å; angles 90.00, 90.00, 90.00 degrees
Element x y z (fractional)
Pr 0.077 0.577 0.923
Pr 0.923 0.077 0.577
Pr 0.577 0.923 0.077
Pr 0.423 0.423 0.423
La 0.173 0.827 0.327
La 0.073 0.427 0.573
La 0.827 0.327 0.173
La 0.927 0.927 0.927
La 0.427 0.573 0.073
La 0.327 0.173 0.827
La 0.673 0.673 0.673
La 0.326 0.826 0.674
La 0.826 0.674 0.326
La 0.573 0.073 0.427
La 0.174 0.174 0.174
La 0.674 0.326 0.826
In 0.247 0.127 0.501
In 0.127 0.501 0.247
In 0.001 0.253 0.873
In 0.747 0.373 0.499
In 0.253 0.873 0.001
In 0.999 0.753 0.627
In 0.373 0.499 0.747
In 0.499 0.747 0.373
In 0.501 0.247 0.127
In 0.873 0.001 0.253
In 0.753 0.627 0.999
In 0.627 0.999 0.753

---

Most stable one: entry b, least stable one: entry a.

---

Entry a
This record from Alexandria describes a relaxed La2Pr3In crystal. The functional is PBE-GGA.

Calculated values
N(E_F) ... 8.5 states/eV/cell
V ... 33.6 Å³/atom
Total moment ... 0.00 Bohr magnetons per cell

Cell lengths 5.028, 5.045, 8.339 Å; angles 107.61, 90.00, 90.00 degrees
Element x y z (fractional)
La 0.000 0.336 0.673
La 0.000 0.664 0.327
In 0.000 0.000 0.000
Pr 0.500 0.159 0.317
Pr 0.500 0.500 0.000
Pr 0.500 0.841 0.683

---

Entry b
This record from Alexandria describes a relaxed La2Pr3In crystal. The functional is PBE-GGA.

Calculated values
N(E_F) ... 14.8 states/eV/cell
V ... 34.4 Å³/atom
Total moment ... 0.00 Bohr magnetons per cell

Cell lengths 7.065, 6.706, 9.574 Å; angles 100.89, 111.65, 90.00 degrees
Element x y z (fractional)
Pr 0.052 0.035 0.331
Pr 0.797 0.250 0.000
Pr 0.948 0.965 0.669
Pr 0.279 0.535 0.331
Pr 0.203 0.750 0.000
Pr 0.721 0.465 0.669
La 0.436 0.937 0.687
La 0.564 0.063 0.313
La 0.748 0.563 0.313
La 0.252 0.437 0.687
In 0.298 0.250 0.000
In 0.702 0.750 0.000

---

Most stable one: entry a, least stable one: entry b.

---

Entry a
This record from Alexandria describes a relaxed LaPrSmIn crystal. The functional is PBE-GGA.

Calculated values
N(E_F) ... 7.0 states/eV/cell
V ... 32.0 Å³/atom
Total moment ... 1.03 Bohr magnetons per cell

Cell lengths 5.656, 5.656, 5.656 Å; angles 60.00, 60.00, 60.00 degrees
Last column: magnetic moment on the atom in μB.
Element x y z (fractional)
Sm 0.750 0.750 0.750  0.25
La 0.000 0.000 0.000  0.15
In 0.250 0.250 0.250  -0.01
Pr 0.500 0.500 0.500  0.15

---

Entry b
This record from Alexandria describes a relaxed LaPrSmIn crystal. The functional is PBE-GGA.

Calculated values
N(E_F) ... 5.7 states/eV/cell
V ... 31.4 Å³/atom
Total moment ... 0.00 Bohr magnetons per cell

Cell lengths 4.933, 4.933, 6.226 Å; angles 113.34, 113.34, 90.00 degrees
Element x y z (fractional)
Pr 0.000 0.000 0.000
In 0.250 0.750 0.500
Sm 0.500 0.500 0.000
La 0.750 0.250 0.500

---

Most stable one: entry b, least stable one: entry a.

---

Entry a
This record from Alexandria describes a relaxed LaTbPrIn crystal. The functional is PBE-GGA.

Calculated values
N(E_F) ... 7.7 states/eV/cell
V ... 31.5 Å³/atom
Total moment ... 0.36 Bohr magnetons per cell

Cell lengths 5.630, 5.630, 5.630 Å; angles 60.00, 60.00, 60.00 degrees
Last column: magnetic moment on the atom in μB.
Element x y z (fractional)
In 0.500 0.500 0.500  0.00
Pr 0.750 0.750 0.750  0.06
Tb 0.000 0.000 0.000  0.10
La 0.250 0.250 0.250  0.05

---

Entry b
This record from Alexandria describes a relaxed LaTbPrIn crystal. The functional is PBE-GGA.

Calculated values
N(E_F) ... 7.5 states/eV/cell
V ... 30.8 Å³/atom
Total moment ... 0.00 Bohr magnetons per cell

Cell lengths 5.581, 5.581, 5.583 Å; angles 119.99, 119.99, 90.00 degrees
Element x y z (fractional)
In 0.250 0.750 0.500
Pr 0.000 0.000 0.000
La 0.750 0.250 0.500
Tb 0.500 0.500 0.000

---

Most stable one: entry a, least stable one: entry b.

---

Entry a
This record from Alexandria describes a relaxed LaPrTlIn crystal. The functional is PBE-GGA.

Calculated values
N(E_F) ... 2.7 states/eV/cell
V ... 30.8 Å³/atom
Total moment ... 0.00 Bohr magnetons per cell

Cell lengths 5.582, 5.582, 5.582 Å; angles 60.00, 60.00, 60.00 degrees
Element x y z (fractional)
La 0.750 0.750 0.750
In 0.500 0.500 0.500
Pr 0.250 0.250 0.250
Tl 0.000 0.000 0.000

---

Entry b
This record from Alexandria describes a relaxed LaPrTlIn crystal. The functional is PBE-GGA.

Calculated values
N(E_F) ... 3.2 states/eV/cell
V ... 30.7 Å³/atom
Total moment ... 0.00 Bohr magnetons per cell

Cell lengths 3.934, 3.934, 7.931 Å; angles 90.00, 90.00, 90.00 degrees
Element x y z (fractional)
Tl 0.000 0.000 0.863
In 0.000 0.000 0.351
La 0.500 0.500 0.604
Pr 0.500 0.500 0.110

---

Most stable one: entry b, least stable one: entry a.

---

Entry a
This record from Alexandria describes a relaxed LaPrTmIn crystal. The functional is PBE-GGA.

Calculated values
N(E_F) ... 7.3 states/eV/cell
V ... 30.2 Å³/atom
Total moment ... 0.00 Bohr magnetons per cell

Cell lengths 5.548, 5.548, 5.550 Å; angles 119.99, 119.99, 90.00 degrees
Element x y z (fractional)
Pr 0.000 0.000 0.000
Tm 0.500 0.500 0.000
In 0.250 0.750 0.500
La 0.750 0.250 0.500

---

Entry b
This record from Alexandria describes a relaxed LaPrTmIn crystal. The functional is PBE-GGA.

Calculated values
N(E_F) ... 6.3 states/eV/cell
V ... 30.9 Å³/atom
Total moment ... 1.27 Bohr magnetons per cell

Cell lengths 5.588, 5.588, 5.588 Å; angles 60.00, 60.00, 60.00 degrees
Last column: magnetic moment on the atom in μB.
Element x y z (fractional)
Tm 0.750 0.750 0.750  0.29
La 0.250 0.250 0.250  0.18
In 0.500 0.500 0.500  -0.01
Pr 0.000 0.000 0.000  0.32

---

Most stable one: entry b, least stable one: entry a.

---

Entry a
This record from Alexandria describes a relaxed LaIn3Pt2 crystal. The functional is PBE-GGA.

Calculated values
N(E_F) ... 6.8 states/eV/cell
V ... 25.5 Å³/atom
Total moment ... 0.00 Bohr magnetons per cell

Cell lengths 7.716, 7.716, 7.416 Å; angles 58.65, 58.65, 60.00 degrees
Element x y z (fractional)
La 0.236 0.236 0.292
La 0.764 0.764 0.708
Pt 0.000 0.500 0.000
Pt 0.500 0.500 0.000
Pt 0.500 0.000 0.000
Pt 0.000 0.000 0.000
In 0.261 0.261 0.723
In 0.739 0.246 0.277
In 0.739 0.739 0.277
In 0.261 0.754 0.723
In 0.754 0.261 0.723
In 0.246 0.739 0.277

---

Entry b
This record from Alexandria describes a relaxed LaIn3Pt2 crystal. The functional is PBE-GGA.

Calculated values
N(E_F) ... 8.9 states/eV/cell
V ... 23.2 Å³/atom
Total moment ... 0.00 Bohr magnetons per cell

Cell lengths 4.442, 9.334, 10.985 Å; angles 108.74, 90.00, 103.77 degrees
Element x y z (fractional)
In 0.214 0.427 0.394
In 0.786 0.573 0.606
In 0.500 0.000 0.500
In 0.036 0.072 0.344
In 0.629 0.258 0.199
In 0.371 0.742 0.801
In 0.674 0.348 0.961
In 0.326 0.652 0.039
In 0.964 0.928 0.656
Pt 0.524 0.047 0.802
Pt 0.363 0.727 0.544
Pt 0.794 0.588 0.862
Pt 0.476 0.953 0.198
Pt 0.637 0.273 0.456
Pt 0.206 0.412 0.138
La 0.162 0.323 0.701
La 0.000 0.000 0.000
La 0.838 0.677 0.299

---

Most stable one: entry b, least stable one: entry a.